LiHg4 | SCAN | single point on PBEsol structure

Cell and atoms, written as CIF:
```
data_LiHg4
_cell_length_a 6.197
_cell_length_b 6.197
_cell_length_c 6.197
_cell_angle_alpha 90.00
_cell_angle_beta 90.00
_cell_angle_gamma 90.00
_space_group_name_H-M_alt 'I m -3 m'
_space_group_IT_number 229
_space_group_name_Hall '-I 4 2 3'
loop_
_atom_site_label
_atom_site_type_symbol
_atom_site_fract_x
_atom_site_fract_y
_atom_site_fract_z
Li1 Li 0.000 0.000 0.000
Hg1 Hg 0.250 0.250 0.250
```

Properties
Calculated formation energy: -160 meV/atom


Sr3ScB3O9 | SCAN | single point on PBEsol structure

Cell and atoms, written as CIF:
```
data_Sr3ScB3O9
_cell_length_a 12.0537
_cell_length_b 12.0537
_cell_length_c 9.1822
_cell_angle_alpha 90.00
_cell_angle_beta 90.00
_cell_angle_gamma 120.00
_space_group_name_H-M_alt 'R -3'
_space_group_IT_number 148
_space_group_name_Hall '-R 3'
loop_
_atom_site_label
_atom_site_type_symbol
_atom_site_fract_x
_atom_site_fract_y
_atom_site_fract_z
Sr1 Sr 0.0404 0.5693 0.3086
Sc1 Sc 0.0000 0.0000 0.0000
Sc2 Sc 0.0000 0.0000 0.5000
B1 B 0.0570 0.8639 0.2328
O1 O 0.0062 0.7405 0.1843
O2 O 0.0320 0.1546 0.1393
O3 O 0.0529 0.8879 0.3804
```

Properties
Formation energy without anion corrections: -3.2145 eV/atom


CdMo2Os | SCAN | single point on PBEsol structure

Cell and atoms, written as CIF:
```
data_CdMo2Os
_cell_length_a 3.148
_cell_length_b 4.399
_cell_length_c 9.075
_cell_angle_alpha 90.00
_cell_angle_beta 90.00
_cell_angle_gamma 90.00
_space_group_name_H-M_alt 'I m m m'
_space_group_IT_number 71
_space_group_name_Hall '-I 2 2'
loop_
_atom_site_label
_atom_site_type_symbol
_atom_site_fract_x
_atom_site_fract_y
_atom_site_fract_z
Cd1 Cd 0.000 0.000 0.000
Mo1 Mo 0.000 0.500 0.238
Os1 Os 0.000 0.000 0.500
```

Properties
Calculated formation energy: 425 meV/atom


YInSe3 | SCAN | single point on PBEsol structure

Cell and atoms, written as CIF:
```
data_YInSe3
_cell_length_a 4.1110
_cell_length_b 4.1110
_cell_length_c 28.6443
_cell_angle_alpha 90.00
_cell_angle_beta 90.00
_cell_angle_gamma 120.00
_space_group_name_H-M_alt 'R 3 m'
_space_group_IT_number 160
_space_group_name_Hall 'R 3 -2"'
loop_
_atom_site_label
_atom_site_type_symbol
_atom_site_fract_x
_atom_site_fract_y
_atom_site_fract_z
Y1 Y 0.0000 0.0000 0.0000
In1 In 0.0000 0.0000 0.1868
Se1 Se 0.0000 0.0000 0.2755
Se2 Se 0.0000 0.0000 0.4799
Se3 Se 0.0000 0.0000 0.7165
```

Properties
Formation energy without anion corrections: -1.3670 eV/atom


BaCrSb2 | SCAN | single point on PBEsol structure

Cell and atoms, written as CIF:
```
data_BaCrSb2
_cell_length_a 4.4382
_cell_length_b 4.4382
_cell_length_c 19.8684
_cell_angle_alpha 90.00
_cell_angle_beta 90.00
_cell_angle_gamma 120.00
_space_group_name_H-M_alt 'R -3 m'
_space_group_IT_number 166
_space_group_name_Hall '-R 3 2"'
loop_
_atom_site_label
_atom_site_type_symbol
_atom_site_fract_x
_atom_site_fract_y
_atom_site_fract_z
Ba1 Ba 0.0000 0.0000 0.0000
Cr1 Cr 0.0000 0.0000 0.5000
Sb1 Sb 0.0000 0.0000 0.2200
```

Properties
Formation energy without anion corrections: -0.5320 eV/atom


Al2AsS | SCAN | single point on PBEsol structure

Cell and atoms, written as CIF:
```
data_Al2AsS
_cell_length_a 5.447
_cell_length_b 5.447
_cell_length_c 11.584
_cell_angle_alpha 90.00
_cell_angle_beta 90.00
_cell_angle_gamma 90.00
_space_group_name_H-M_alt 'I -4 2 d'
_space_group_IT_number 122
_space_group_name_Hall 'I -4 2bw'
loop_
_atom_site_label
_atom_site_type_symbol
_atom_site_fract_x
_atom_site_fract_y
_atom_site_fract_z
Al1 Al 0.241 0.250 0.125
As1 As 0.000 0.000 0.500
S1 S 0.000 0.000 0.000
```

Properties
Formation energy without anion corrections: -0.4500 eV/atom


CaLaCd2 | SCAN | single point on PBEsol structure

Cell and atoms, written as CIF:
```
data_CaLaCd2
_cell_length_a 3.6469
_cell_length_b 3.6469
_cell_length_c 30.3655
_cell_angle_alpha 90.00
_cell_angle_beta 90.00
_cell_angle_gamma 120.00
_space_group_name_H-M_alt 'R -3 m'
_space_group_IT_number 166
_space_group_name_Hall '-R 3 2"'
loop_
_atom_site_label
_atom_site_type_symbol
_atom_site_fract_x
_atom_site_fract_y
_atom_site_fract_z
Ca1 Ca 0.0000 0.0000 0.0000
La1 La 0.0000 0.0000 0.5000
Cd1 Cd 0.0000 0.0000 0.2523
```

Properties
Calculated formation energy: -161 meV/atom
Offset from the most stable computed form: 323 meV/atom


MgZnCd2 | SCAN | single point on PBEsol structure

Cell and atoms, written as CIF:
```
data_MgZnCd2
_cell_length_a 9.535
_cell_length_b 3.100
_cell_length_c 5.354
_cell_angle_alpha 90.00
_cell_angle_beta 101.78
_cell_angle_gamma 90.00
_space_group_name_H-M_alt 'C 1 2/m 1'
_space_group_IT_number 12
loop_
_space_group_symop_operation_xyz
'x,y,z'
'-x,-y,-z'
'-x,y,-z'
'x,-y,z'
'x+1/2,y+1/2,z'
'-x+1/2,-y+1/2,-z'
'-x+1/2,y+1/2,-z'
'x+1/2,-y+1/2,z'
loop_
_atom_site_label
_atom_site_type_symbol
_atom_site_fract_x
_atom_site_fract_y
_atom_site_fract_z
Mg1 Mg 0.000 0.000 0.000
Zn1 Zn 0.000 0.500 0.500
Cd1 Cd 0.244 0.000 0.741
```

Properties
Calculated formation energy: -16 meV/atom
Offset from the most stable computed form: 26 meV/atom